The following is a DFT calculation (PBE-GGA) of a geometry-optimized MnRe2IrOs structure.

Lattice parameters (Å, degrees): 4.674 4.706 4.674 90.00 90.00 90.00
Each line ends with the local moment (μB).
Fractional positions:
Re  0.500  0.000  0.000  0.24
Re  0.000  0.000  0.500  0.28
Os  0.000  0.000  0.000  0.01
Mn  0.500  0.500  0.500  -0.21
Ir  0.000  0.500  0.000  -0.03

Results
Energy of formation from the pure elements   12.535 eV/f.u.
Space-group type   P4/mmm (123)
Calculated total energy   -8.3242 eV per atom

=====

The following is a DFT calculation (PBE-GGA) of a geometry-optimized MnIr2OsRu4 structure.

Lattice parameters (Å, degrees): 3.819 8.530 3.816 63.38 90.00 90.00
Each line ends with the local moment (μB).
Fractional positions:
Ru  0.000  0.255  0.244  -0.16
Ru  0.500  0.745  0.255  -0.16
Ru  0.000  0.745  0.756  -0.16
Ru  0.500  0.255  0.745  -0.16
Os  0.500  0.500  0.000  -0.27
Ir  0.500  0.000  0.500  -0.07
Ir  0.000  0.000  0.000  0.05
Mn  0.000  0.500  0.500  2.04

Results
Energy of formation from the pure elements   0.206 eV/f.u.
Space-group type   P4/mmm (123)
Calculated total energy   -9.3774 eV per atom

=====

Among the records above, which one has the highest energy of formation from the pure elements? MnRe2IrOs